1.
The following is a GGA-PBE calculation of SmPa2CrN4 after structural relaxation, from Alexandria.

Cell: 6.0911 6.0911 11.5394 Å, 90.00 90.00 147.83°
Closest atoms and distances in Å follow each position.
Element x y z (fractional)
Sm 0.1065 0.8935 0.7500  6 N 2.53-2.66
Sm 0.8935 0.1065 0.2500  6 N 2.53-2.66
Pa 0.3670 0.6330 0.5550  6 N 2.34-2.46
Pa 0.3670 0.6330 0.9450  6 N 2.34-2.46
Pa 0.6330 0.3670 0.0550  6 N 2.34-2.46
Pa 0.6330 0.3670 0.4450  6 N 2.34-2.46
Cr 0.1565 0.8435 0.2500  4 N 1.99-2.07
Cr 0.8435 0.1565 0.7500  4 N 1.99-2.07
N 0.0000 0.0000 0.0000  4 Pa 2.38
N 0.0000 0.0000 0.5000  4 Pa 2.38
N 0.2711 0.7289 0.1227  1 Cr 1.99
N 0.2711 0.7289 0.3773  1 Cr 1.99
N 0.4455 0.5545 0.7500  2 Cr 2.07
N 0.5545 0.4455 0.2500  2 Cr 2.07
N 0.7289 0.2711 0.6227  1 Cr 1.99
N 0.7289 0.2711 0.8773  1 Cr 1.99

As for the space group: Cmcm.

=====

2.
The following is a GGA-PBE calculation of SrPaCrN3 after structural relaxation, from Alexandria.

Cell: 7.3025 3.5946 7.7477 Å, 90.00 99.52 90.00°
Closest atoms and distances in Å follow each position.
Element x y z (fractional)
Sr 0.1644 0.2500 0.1892  5 N 2.64-2.87
Sr 0.8356 0.7500 0.8108  5 N 2.64-2.87
Pa 0.3486 0.7500 0.8322  6 N 2.27-2.43
Pa 0.6514 0.2500 0.1678  6 N 2.27-2.43
Cr 0.0868 0.2500 0.5845  4 N 1.86-2.00
Cr 0.9132 0.7500 0.4155  4 N 1.86-2.00
N 0.1459 0.2500 0.8464  1 Cr 2.00
N 0.1512 0.7500 0.5474  3 Cr 1.86-1.89
N 0.4347 0.7500 0.1272  3 Pa 2.27-2.38
N 0.5653 0.2500 0.8728  3 Pa 2.27-2.38
N 0.8488 0.2500 0.4526  3 Cr 1.86-1.89
N 0.8541 0.7500 0.1536  1 Cr 2.00

As for the space group: P2_1/m.

=====

3.
The following is a GGA-PBE calculation of Sr3Pa3CrN8 after structural relaxation, from Alexandria.

Cell: 7.1973 7.1973 7.1973 Å, 57.95 57.95 57.95°
Closest atoms and distances in Å follow each position.
Element x y z (fractional)
Sr 0.0000 0.5000 0.5000  6 N 2.66-2.76
Sr 0.5000 0.0000 0.5000  6 N 2.66-2.76
Sr 0.5000 0.5000 0.0000  6 N 2.66-2.76
Pa 0.0000 0.0000 0.5000  6 N 2.30-2.37
Pa 0.0000 0.5000 0.0000  6 N 2.30-2.37
Pa 0.5000 0.0000 0.0000  6 N 2.30-2.37
Cr 0.5000 0.5000 0.5000  6 N 2.25
N 0.2339 0.7236 0.7236  1 Cr 2.25, 2 Pa 2.30
N 0.2363 0.2363 0.2363  3 Pa 2.37
N 0.2764 0.2764 0.7661  1 Cr 2.25, 2 Pa 2.30
N 0.2764 0.7661 0.2764  1 Cr 2.25, 2 Pa 2.30
N 0.7236 0.2339 0.7236  1 Cr 2.25, 2 Pa 2.30
N 0.7236 0.7236 0.2339  1 Cr 2.25, 2 Pa 2.30
N 0.7637 0.7637 0.7637  3 Pa 2.37
N 0.7661 0.2764 0.2764  1 Cr 2.25, 2 Pa 2.30

As for the space group: R-3m.

=====

4.
The following is a GGA-PBE calculation of SrPaCrN4 after structural relaxation, from Alexandria.

Cell: 5.7979 5.5220 7.0726 Å, 90.00 106.83 90.00°
Closest atoms and distances in Å follow each position.
Element x y z (fractional)
Sr 0.2086 0.2500 0.4232  6 N 2.62-2.92
Sr 0.7914 0.7500 0.5768  6 N 2.62-2.92
Pa 0.2770 0.2500 0.9459  6 N 2.30-2.43
Pa 0.7230 0.7500 0.0541  6 N 2.30-2.43
Cr 0.2634 0.7500 0.1802  4 N 1.73-1.78
Cr 0.7366 0.2500 0.8198  4 N 1.73-1.78
N 0.0599 0.7500 0.3244  1 Cr 1.77
N 0.0642 0.7500 0.9441  1 Cr 1.73
N 0.4711 0.5064 0.2009  1 Cr 1.78
N 0.4711 0.9936 0.2009  1 Cr 1.78
N 0.5289 0.0064 0.7991  1 Cr 1.78
N 0.5289 0.4936 0.7991  1 Cr 1.78
N 0.9358 0.2500 0.0559  1 Cr 1.73
N 0.9401 0.2500 0.6756  1 Cr 1.77

As for the space group: P2_1/m.

=====

5.
The following is a GGA-PBE calculation of Pa2TaCrN5 after structural relaxation, from Alexandria.

Cell: 6.6928 6.6928 10.1467 Å, 90.00 90.00 151.97°
Closest atoms and distances in Å follow each position.
Element x y z (fractional)
Pa 0.1050 0.8950 0.5000  6 N 2.29-2.48
Pa 0.1439 0.8561 0.1260  7 N 2.37-2.54
Pa 0.8561 0.1439 0.6260  7 N 2.37-2.54
Pa 0.8950 0.1050 0.0000  6 N 2.29-2.48
Ta 0.1973 0.8027 0.8255  6 N 2.04-2.26
Ta 0.8027 0.1973 0.3255  6 N 2.04-2.26
Cr 0.4684 0.5316 0.2797  4 N 1.91-2.12
Cr 0.5316 0.4684 0.7797  4 N 1.91-2.12
N 0.0487 0.9513 0.8905  2 Cr 1.99, 1 Ta 2.04
N 0.2816 0.7184 0.4782  2 Ta 2.26, 3 Pa 2.30-2.41
N 0.3215 0.6785 0.1881  1 Cr 2.12, 2 Ta 2.15
N 0.3671 0.6329 0.8186  1 Cr 2.17, 1 Ta 2.21
N 0.4874 0.5126 0.6005  1 Cr 1.91
N 0.5126 0.4874 0.1005  1 Cr 1.91
N 0.6329 0.3671 0.3186  1 Cr 2.17, 1 Ta 2.21
N 0.6785 0.3215 0.6881  1 Cr 2.12, 2 Ta 2.15
N 0.7184 0.2816 0.9782  2 Ta 2.26, 3 Pa 2.30-2.41
N 0.9513 0.0487 0.3905  2 Cr 1.99, 1 Ta 2.04

As for the space group: Cmc2_1.

=====

6.
The following is a GGA-PBE calculation of TbPaCrN4 after structural relaxation, from Alexandria.

Cell: 5.7184 5.2757 6.6586 Å, 90.00 107.94 90.00°
Closest atoms and distances in Å follow each position.
Element x y z (fractional)
Tb 0.2031 0.2500 0.4245  2 N 2.37-2.39
Tb 0.7969 0.7500 0.5755  2 N 2.37-2.39
Pa 0.2704 0.2500 0.9430  6 N 2.31-2.47
Pa 0.7296 0.7500 0.0570  6 N 2.31-2.47
Cr 0.2669 0.7500 0.2008  4 N 1.77-1.83
Cr 0.7331 0.2500 0.7992  4 N 1.77-1.83
N 0.0601 0.7500 0.3621  1 Cr 1.83
N 0.0727 0.7500 0.9286  1 Cr 1.81
N 0.4831 0.5009 0.2327  1 Cr 1.77
N 0.4831 0.9991 0.2327  1 Cr 1.77
N 0.5169 0.0009 0.7673  1 Cr 1.77
N 0.5169 0.4991 0.7673  1 Cr 1.77
N 0.9273 0.2500 0.0714  1 Cr 1.81
N 0.9399 0.2500 0.6379  1 Cr 1.83

As for the space group: P2_1/m.

=====

7.
The following is a GGA-PBE calculation of Pa2CrTcN6 after structural relaxation, from Alexandria.

Cell: 5.5637 5.5637 4.0378 Å, 90.00 90.00 90.00°
Closest atoms and distances in Å follow each position.
Element x y z (fractional)
Pa 0.0000 0.5000 0.0000  4 N 2.25
Pa 0.5000 0.0000 0.0000  4 N 2.25
Cr 0.0000 0.0000 0.6035  1 N 1.64
Tc 0.5000 0.5000 0.6578  6 N 1.95-2.08
N 0.0000 0.0000 0.1961  1 Cr 1.64
N 0.2396 0.2396 0.7277  1 Cr 1.95, 1 Tc 2.07
N 0.2396 0.7604 0.7277  1 Cr 1.95, 1 Tc 2.07
N 0.5000 0.5000 0.1737  2 Tc 1.95-2.08
N 0.7604 0.2396 0.7277  1 Cr 1.95, 1 Tc 2.07
N 0.7604 0.7604 0.7277  1 Cr 1.95, 1 Tc 2.07

As for the space group: P4mm.

=====

8.
The following is a GGA-PBE calculation of Pa2CrTcN5 after structural relaxation, from Alexandria.

Cell: 6.8425 6.8425 9.4429 Å, 90.00 90.00 151.67°
Closest atoms and distances in Å follow each position.
Element x y z (fractional)
Pa 0.1206 0.8794 0.5000  8 N 2.33-2.56
Pa 0.1358 0.8642 0.1193  7 N 2.36-2.49
Pa 0.8642 0.1358 0.6193  7 N 2.36-2.49
Pa 0.8794 0.1206 0.0000  8 N 2.33-2.56
Cr 0.4418 0.5582 0.2722  4 N 1.86-1.95
Cr 0.5582 0.4418 0.7722  4 N 1.86-1.95
Tc 0.2040 0.7960 0.8223  6 N 2.12-2.19
Tc 0.7960 0.2040 0.3223  6 N 2.12-2.19
N 0.0438 0.9562 0.8583  2 Cr 1.87
N 0.2950 0.7050 0.4720  2 Tc 2.19, 3 Pa 2.33-2.36
N 0.3109 0.6891 0.1781  1 Cr 1.95, 2 Tc 2.17
N 0.3638 0.6362 0.8141  1 Tc 2.12
N 0.4987 0.5013 0.0926  1 Cr 1.86
N 0.5013 0.4987 0.5926  1 Cr 1.86
N 0.6362 0.3638 0.3141  1 Tc 2.12
N 0.6891 0.3109 0.6781  1 Cr 1.95, 2 Tc 2.17
N 0.7050 0.2950 0.9720  2 Tc 2.19, 3 Pa 2.33-2.36
N 0.9562 0.0438 0.3583  2 Cr 1.87

As for the space group: Cmc2_1.

=====

9.
The following is a GGA-PBE calculation of ThPa2CrN6 after structural relaxation, from Alexandria.

Cell: 5.2982 5.2982 5.4964 Å, 90.00 90.00 90.00°
Closest atoms and distances in Å follow each position.
Element x y z (fractional)
Th 0.0000 0.0000 0.0000  5 N 2.29-2.32
Pa 0.0000 0.5000 0.4425  4 N 2.25
Pa 0.5000 0.0000 0.4425  4 N 2.25
Cr 0.5000 0.5000 0.0631  1 N 1.73
N 0.0000 0.0000 0.5841  1 Th 2.29
N 0.2646 0.2646 0.2181  1 Cr 1.96
N 0.2646 0.7354 0.2181  1 Cr 1.96
N 0.5000 0.5000 0.7487  1 Cr 1.73
N 0.7354 0.2646 0.2181  1 Cr 1.96
N 0.7354 0.7354 0.2181  1 Cr 1.96

As for the space group: P4mm.

=====

Number 1: Fermi-level density of states 10.36 states/eV per cell, DFT total energy -9.611 eV per atom. Number 2: Fermi-level density of states 3.71 states/eV per cell, DFT total energy -8.678 eV per atom. Number 3: Fermi-level density of states 1.68 states/eV per cell, DFT total energy -8.457 eV per atom. Number 4: Fermi-level density of states 5.13 states/eV per cell, DFT total energy -8.755 eV per atom. Number 5: Fermi-level density of states 6.38 states/eV per cell, DFT total energy -10.409 eV per atom. Number 6: Fermi-level density of states 9.13 states/eV per cell, DFT total energy -9.226 eV per atom. Number 7: Fermi-level density of states 5.52 states/eV per cell, DFT total energy -9.617 eV per atom. Number 8: Fermi-level density of states 9.10 states/eV per cell, DFT total energy -9.988 eV per atom. Number 9: Fermi-level density of states 5.52 states/eV per cell, DFT total energy -9.623 eV per atom.